Entry 1:
LaDyLu2, optimized geometry, DFT PBE-GGA; uncorrected energy = -18.2 eV per cell; total magnetic moment = 0.00 μB per cell; SG = P4/mmm; calculated formation energy = 0.32 eV per formula unit; energy relative to the lowest polymorph listed for this composition = 38.7 meV per atom
1.0
4.056 0.000 0.000
0.000 4.056 0.000
0.000 0.000 7.830
La Dy Lu
1 1 2
direct
0.000 0.000 0.000
0.000 0.000 0.500
0.500 0.500 0.262
0.500 0.500 0.738

Entry 2:
LaDyLu2, optimized geometry, DFT PBE-GGA; uncorrected energy = -18.2 eV per cell; total magnetic moment = 0.00 μB per cell; SG = Fm-3m; calculated formation energy = 0.33 eV per formula unit; energy relative to the lowest polymorph listed for this composition = 39.3 meV per atom
1.0
0.000 4.009 4.009
4.009 0.000 4.009
4.009 4.009 0.000
La Dy Lu
1 1 2
direct
0.000 0.000 0.000
0.500 0.500 0.500
0.250 0.250 0.250
0.750 0.750 0.750

Entry 3:
LaDyLu2, optimized geometry, DFT PBE-GGA; uncorrected energy = -18.4 eV per cell; total magnetic moment = 0.01 μB per cell; SG = P4/mmm; calculated formation energy = 0.17 eV per formula unit; energy relative to the lowest polymorph listed for this composition = 0.0 meV per atom
1.0
5.077 0.000 0.000
0.000 5.077 0.000
0.000 0.000 4.944
La Dy Lu
1 1 2
direct
0.000 0.000 0.000
0.500 0.500 0.000
0.000 0.500 0.500
0.500 0.000 0.500

Entry 4:
LaDyLuMg, optimized geometry, DFT PBE-GGA; uncorrected energy = -15.6 eV per cell; total magnetic moment = 0.00 μB per cell; SG = F-43m; calculated formation energy = 0.05 eV per formula unit
1.0
0.000 3.931 3.931
3.931 0.000 3.931
3.931 3.931 0.000
La Dy Lu Mg
1 1 1 1
direct
0.000 0.000 0.000
0.500 0.500 0.500
0.750 0.750 0.750
0.250 0.250 0.250

Entry 5:
LaNdDyLu, optimized geometry, DFT PBE-GGA; uncorrected energy = -18.5 eV per cell; total magnetic moment = 0.00 μB per cell; SG = F-43m; calculated formation energy = 0.35 eV per formula unit
1.0
0.000 4.066 4.066
4.066 0.000 4.066
4.066 4.066 0.000
La Nd Dy Lu
1 1 1 1
direct
0.000 0.000 0.000
0.500 0.500 0.500
0.750 0.750 0.750
0.250 0.250 0.250

Entry 6:
LaDyLuPb, optimized geometry, DFT PBE-GGA; uncorrected energy = -18.3 eV per cell; total magnetic moment = 0.00 μB per cell; SG = F-43m; calculated formation energy = -0.58 eV per formula unit
1.0
0.000 3.931 3.931
3.931 0.000 3.931
3.931 3.931 0.000
La Dy Lu Pb
1 1 1 1
direct
0.000 0.000 0.000
0.500 0.500 0.500
0.250 0.250 0.250
0.750 0.750 0.750

Entry 7:
LaPmDyLu, optimized geometry, DFT PBE-GGA; uncorrected energy = -18.4 eV per cell; total magnetic moment = 0.00 μB per cell; SG = F-43m; calculated formation energy = 0.36 eV per formula unit
1.0
0.000 4.059 4.059
4.059 0.000 4.059
4.059 4.059 0.000
La Pm Dy Lu
1 1 1 1
direct
0.000 0.000 0.000
0.500 0.500 0.500
0.250 0.250 0.250
0.750 0.750 0.750

Entry 8:
LaDyLuSc, optimized geometry, DFT PBE-GGA; uncorrected energy = -20.1 eV per cell; total magnetic moment = 0.00 μB per cell; SG = F-43m; calculated formation energy = 0.33 eV per formula unit
1.0
0.000 3.946 3.946
3.946 0.000 3.946
3.946 3.946 0.000
La Dy Lu Sc
1 1 1 1
direct
0.000 0.000 0.000
0.500 0.500 0.500
0.250 0.250 0.250
0.750 0.750 0.750

Entry 9:
LaSmDyLu, optimized geometry, DFT PBE-GGA; uncorrected energy = -18.4 eV per cell; total magnetic moment = 0.00 μB per cell; SG = F-43m; calculated formation energy = 0.38 eV per formula unit
1.0
0.000 4.053 4.053
4.053 0.000 4.053
4.053 4.053 0.000
La Sm Dy Lu
1 1 1 1
direct
0.000 0.000 0.000
0.500 0.500 0.500
0.750 0.750 0.750
0.250 0.250 0.250

Entry 10:
LaDyLuTh, optimized geometry, DFT PBE-GGA; uncorrected energy = -21.0 eV per cell; total magnetic moment = 0.00 μB per cell; SG = F-43m; calculated formation energy = 0.42 eV per formula unit
1.0
0.000 4.025 4.025
4.025 0.000 4.025
4.025 4.025 0.000
La Dy Lu Th
1 1 1 1
direct
0.000 0.000 0.000
0.250 0.250 0.250
0.750 0.750 0.750
0.500 0.500 0.500

Entry 11:
LaDyLuTl, optimized geometry, DFT PBE-GGA; uncorrected energy = -16.7 eV per cell; total magnetic moment = 0.90 μB per cell; SG = F-43m; calculated formation energy = -0.30 eV per formula unit
1.0
0.000 3.917 3.917
3.917 0.000 3.917
3.917 3.917 0.000
La Dy Lu Tl
1 1 1 1
direct
0.000 0.000 0.000
0.500 0.500 0.500
0.750 0.750 0.750
0.250 0.250 0.250

Entry 12:
LaDyLuZr, optimized geometry, DFT PBE-GGA; uncorrected energy = -21.8 eV per cell; total magnetic moment = 0.21 μB per cell; SG = F-43m; calculated formation energy = 0.81 eV per formula unit
1.0
0.000 3.898 3.898
3.898 0.000 3.898
3.898 3.898 0.000
La Dy Lu Zr
1 1 1 1
direct
0.000 0.000 0.000
0.750 0.750 0.750
0.250 0.250 0.250
0.500 0.500 0.500

Entry 13:
La9DyMg2, optimized geometry, DFT PBE-GGA; uncorrected energy = -52.3 eV per cell; total magnetic moment = 0.00 μB per cell; SG = P4/mmm; calculated formation energy = -0.16 eV per formula unit
1.0
5.156 0.000 0.000
0.000 5.156 0.000
0.000 0.000 15.451
La Dy Mg
9 1 2
direct
0.000 0.000 0.000
0.000 0.000 0.334
0.000 0.000 0.666
0.000 0.500 0.169
0.000 0.500 0.500
0.000 0.500 0.831
0.500 0.000 0.169
0.500 0.000 0.500
0.500 0.000 0.831
0.500 0.500 0.000
0.500 0.500 0.336
0.500 0.500 0.664

Entry 14:
La15Dy2Mg2, optimized geometry, DFT PBE-GGA; uncorrected energy = -82.9 eV per cell; total magnetic moment = 0.00 μB per cell; SG = R-3m; calculated formation energy = 3.36 eV per formula unit
1.0
5.570 3.216 6.184
-5.570 3.216 6.184
0.000 -6.432 6.184
La Dy Mg
15 2 2
direct
0.000 0.000 0.500
0.000 0.295 0.705
0.000 0.500 0.000
0.000 0.705 0.295
0.174 0.604 0.604
0.295 0.000 0.705
0.295 0.705 0.000
0.396 0.396 0.826
0.396 0.826 0.396
0.500 0.000 0.000
0.604 0.174 0.604
0.604 0.604 0.174
0.705 0.000 0.295
0.705 0.295 0.000
0.826 0.396 0.396
0.298 0.298 0.298
0.702 0.702 0.702
0.091 0.091 0.091
0.909 0.909 0.909

Entry 15:
LaDy2Mg, optimized geometry, DFT PBE-GGA; uncorrected energy = -15.6 eV per cell; total magnetic moment = 0.01 μB per cell; SG = P4/mmm; calculated formation energy = 0.10 eV per formula unit; energy relative to the lowest polymorph listed for this composition = 49.0 meV per atom
1.0
4.949 0.000 0.000
0.000 4.949 0.000
0.000 0.000 5.063
La Dy Mg
1 2 1
direct
0.000 0.000 0.000
0.000 0.500 0.500
0.500 0.000 0.500
0.500 0.500 0.000

Entry 16:
La2DyMg5, optimized geometry, DFT PBE-GGA; uncorrected energy = -23.1 eV per cell; total magnetic moment = 0.00 μB per cell; SG = I4/mmm; calculated formation energy = -0.63 eV per formula unit
1.0
-2.627 2.627 8.090
2.627 -2.627 8.090
2.627 2.627 -8.090
La Dy Mg
2 1 5
direct
0.240 0.240 0.000
0.760 0.760 0.000
0.500 0.500 0.000
0.000 0.000 0.000
0.112 0.612 0.500
0.388 0.888 0.500
0.612 0.112 0.500
0.888 0.388 0.500

Entry 17:
La6Dy2Mg, optimized geometry, DFT PBE-GGA; uncorrected energy = -80.5 eV per cell; total magnetic moment = 0.00 μB per cell; SG = P-1; calculated formation energy = 0.14 eV per formula unit
1.0
6.511 0.000 0.000
-1.007 9.033 0.000
-2.973 -3.787 10.618
La Dy Mg
12 4 2
direct
0.017 0.267 0.437
0.032 0.854 0.286
0.222 0.538 0.782
0.370 0.593 0.390
0.398 0.161 0.254
0.449 0.738 0.116
0.551 0.262 0.884
0.602 0.839 0.746
0.630 0.407 0.610
0.778 0.462 0.218
0.968 0.146 0.714
0.983 0.733 0.563
0.144 0.354 0.040
0.197 0.945 0.918
0.803 0.055 0.082
0.856 0.646 0.960
0.353 0.049 0.574
0.647 0.951 0.426

Entry 18:
LaDyMg, optimized geometry, DFT PBE-GGA; uncorrected energy = -22.2 eV per cell; total magnetic moment = 0.00 μB per cell; SG = P1; calculated formation energy = 0.02 eV per formula unit; energy relative to the lowest polymorph listed for this composition = 53.8 meV per atom
1.0
3.878 0.000 0.000
0.003 5.613 0.000
0.008 2.672 8.517
La Dy Mg
2 2 2
direct
0.000 0.000 0.000
0.499 0.538 0.922
0.500 0.177 0.633
0.999 0.362 0.289
0.500 0.844 0.331
0.999 0.696 0.592

Entry 19:
La3DyMg, optimized geometry, DFT PBE-GGA; uncorrected energy = -41.6 eV per cell; total magnetic moment = 0.00 μB per cell; SG = P2_1/m; calculated formation energy = 0.20 eV per formula unit
1.0
3.594 0.000 0.000
0.000 7.205 0.000
-1.768 0.000 13.241
La Dy Mg
6 2 2
direct
0.100 0.013 0.196
0.100 0.487 0.196
0.295 0.750 0.587
0.705 0.250 0.413
0.900 0.513 0.804
0.900 0.987 0.804
0.499 0.250 0.997
0.501 0.750 0.003
0.313 0.250 0.633
0.687 0.750 0.367

Entry 20:
La4Dy3Mg, optimized geometry, DFT PBE-GGA; uncorrected energy = -35.1 eV per cell; total magnetic moment = 0.00 μB per cell; SG = P4/mmm; calculated formation energy = 0.00 eV per formula unit
1.0
3.731 0.000 0.000
0.000 3.731 0.000
0.000 0.000 19.346
La Dy Mg
4 3 1
direct
0.000 0.000 0.114
0.000 0.000 0.372
0.000 0.000 0.628
0.000 0.000 0.886
0.500 0.500 0.243
0.500 0.500 0.500
0.500 0.500 0.757
0.500 0.500 0.000